# Mn2SnPbO6 PBE with a Hubbard U optimized geometry
data_Mn2SnPbO6
_chemical_formula_sum 'Mn6 Sn3 Pb3 O18'
_symmetry_space_group_name_H-M 'R 3'
_symmetry_Int_Tables_number 146
_symmetry_space_group_name_Hall 'R 3'
_cell_length_a 5.4355
_cell_length_b 5.4355
_cell_length_c 14.9690
_cell_angle_alpha 90.00
_cell_angle_beta 90.00
_cell_angle_gamma 120.00
loop_
_atom_site_label
_atom_site_type_symbol
_atom_site_fract_x
_atom_site_fract_y
_atom_site_fract_z
Mn1 Mn 0.0000 0.0000 0.0000
Mn2 Mn 0.0000 0.0000 0.4856
Sn1 Sn 0.0000 0.0000 0.6924
Pb1 Pb 0.0000 0.0000 0.2202
O1 O 0.0057 0.4363 0.2627
O2 O 0.0101 0.6994 0.0813
# * total moment: 23.98 μB per cell
# * VASP energy: -200.18 eV per cell